(1)
CrAgNF2 after structural relaxation, computed with PBE+U.

Values from the calculation:
For the calculated volume, the calculation gives 15.42 Å³/atom. For the raw total energy, the calculation gives -4.442 eV/atom. Its relative energy among the computed polymorphs is 0.855 eV/atom. The calculation puts the spin magnetization at 0.6528 μB/atom.

Unit cell a=4.3793 b=4.3793 c=4.0197 alpha=90.00 beta=90.00 gamma=90.00
Fractional positions:
Cr1 0.0000 0.0000 0.0000
Ag1 0.5000 0.5000 0.5000
N1 0.5000 0.5000 0.0000
F1 0.0000 0.5000 0.5000
F2 0.5000 0.0000 0.5000

---

(2)
RbBaMo2O8 after structural relaxation, computed with PBE+U.

Values from the calculation:
For the calculated volume, the calculation gives 21.01 Å³/atom. For the raw total energy, the calculation gives -6.553 eV/atom. The calculation puts the spin magnetization at 0.0935 μB/atom.

Unit cell a=6.9118 b=6.9118 c=6.9118 alpha=106.61 beta=106.61 gamma=115.35
Fractional positions:
Rb1 0.0000 0.0000 0.0000
Ba1 0.7500 0.2500 0.5000
Mo1 0.2500 0.7500 0.5000
Mo2 0.5000 0.5000 0.0000
O1 0.0988 0.4282 0.3294
O2 0.0988 0.7695 0.6706
O3 0.1810 0.3586 0.8224
O4 0.2305 0.9012 0.3294
O5 0.5362 0.3586 0.1776
O6 0.5718 0.9012 0.6706
O7 0.6414 0.4638 0.8224
O8 0.6414 0.8190 0.1776

---

- Look up the calculated volume of the first one.
  15.42 Å³/atom

---

Copy entry 1 word for word.
CrAgNF2 after structural relaxation, computed with PBE+U.

Values from the calculation:
For the calculated volume, the calculation gives 15.42 Å³/atom. For the raw total energy, the calculation gives -4.442 eV/atom. Its relative energy among the computed polymorphs is 0.855 eV/atom. The calculation puts the spin magnetization at 0.6528 μB/atom.

Unit cell a=4.3793 b=4.3793 c=4.0197 alpha=90.00 beta=90.00 gamma=90.00
Fractional positions:
Cr1 0.0000 0.0000 0.0000
Ag1 0.5000 0.5000 0.5000
N1 0.5000 0.5000 0.0000
F1 0.0000 0.5000 0.5000
F2 0.5000 0.0000 0.5000

---

- Which value of raw total energy does entry 1 give?
  -4.442 eV/atom